Compound: PaTiBi2
Source: the Alexandria database
Functional: PBE
Structure: relaxed

```
PaTiBi2
1.0
3.823 0.000 0.000
0.000 5.165 0.000
0.000 0.000 5.165
Pa Bi Ti
1 2 1
direct
0.500 0.000 0.000
0.000 0.000 0.500
0.000 0.500 0.000
0.500 0.500 0.500
```

Properties
Space-group type: P4/mmm, No. 123
Energy relative to the lowest polymorph listed for this composition, eV per formula unit: 0.013

---

Compound: Ac2SbAsPd6
Source: the Alexandria database
Functional: PBE
Structure: relaxed

```
Ac2SbAsPd6
1.0
-6.666 2.063 -0.803
-1.444 -6.592 0.950
-5.512 0.158 4.354
Ac Sb As Pd
2 1 1 6
direct
0.748 0.219 0.528
0.252 0.781 0.472
0.500 0.500 0.000
0.000 0.000 0.000
0.245 0.239 0.511
0.751 0.600 0.152
0.251 0.761 0.992
0.749 0.239 0.008
0.249 0.400 0.848
0.755 0.761 0.489
```

Properties
Space-group type: C2/m, No. 12
Raw formation energy, eV/atom: -0.75

---

Compound: LiHfTeI2
Source: the Alexandria database
Functional: PBE
Structure: relaxed

```
LiHfTeI2
1.0
5.750 0.000 0.000
0.000 5.750 0.000
0.000 0.000 5.607
I Te Hf Li
2 1 1 1
direct
0.000 0.500 0.000
0.500 0.000 0.000
0.000 0.000 0.500
0.000 0.000 0.000
0.500 0.500 0.500
```

Properties
Space-group type: P4/mmm, No. 123
Raw formation energy, eV/atom: -0.43
Energy relative to the lowest polymorph listed for this composition, eV per formula unit: 0.000

---

Compound: Ca4IrW
Source: the Alexandria database
Functional: PBE
Structure: relaxed

```
Ca4IrW
1.0
0.000 4.226 4.226
4.226 0.000 4.226
4.226 4.226 0.000
Ca Ir W
4 1 1
direct
0.873 0.376 0.376
0.376 0.376 0.873
0.376 0.873 0.376
0.376 0.376 0.376
0.750 0.750 0.750
0.000 0.000 0.000
```

Properties
Space-group type: F-43m, No. 216

---

VASP energy (computed, eV/cell): -25.296 -55.639 -20.268 -21.913